Material: Pm8TlSn6
Method: DFT, PBE
State: relaxed

Formation energy = -0.5718 eV/atom
Space group = No. 148

```
Pm8TlSn6
1.0
9.3911 0.0000 0.0000
4.6956 8.1329 0.0000
4.6956 2.7110 6.4565
Sn Pm Tl
6 8 1
direct
0.2897 0.5625 0.2159 Sn
0.0681 0.7103 0.7841 Sn
0.9319 0.2897 0.2159 Sn
0.4375 0.0681 0.7841 Sn
0.7103 0.4375 0.7841 Sn
0.5625 0.9319 0.2159 Sn
0.6155 0.1955 0.2929 Pm
0.3330 0.3330 0.0011 Pm
0.1038 0.3845 0.7071 Pm
0.3845 0.8045 0.7071 Pm
0.8045 0.1038 0.7071 Pm
0.1955 0.8962 0.2929 Pm
0.8962 0.6155 0.2929 Pm
0.6670 0.6670 0.9989 Pm
0.0000 0.0000 0.0000 Tl
```



Material: ZnCdTeP
Method: DFT, PBE
State: relaxed

Formation energy without anion corrections = -0.42 eV per formula unit
Space group = No. 1

```
ZnCdTeP
1.0
-0.1913 -4.0796 1.2465
2.2762 -0.4277 -3.7391
4.3820 1.6658 3.4780
P Zn Cd Te
1 1 1 1
direct
0.4856 0.2622 0.0265 P
0.0211 0.2194 0.2063 Zn
0.4972 0.7074 0.7961 Cd
0.9504 0.7581 0.4708 Te
```



How do the records compare in theoretical density? In the order shown, they have 6.993, 5.305 Mg/m³.